A relaxed structure of TbHoPu2, computed with GGA-PBE.

Values from the calculation:
- E_form (eV per atom) = 0.276
- relative energy among the computed polymorphs (eV per atom) = 0.100

a b c (Å): 5.4862 5.4862 5.4862
angles (deg): 60.00 60.00 60.00
With the nearest neighbours (Å) after each atom.
Element x y z (fractional)
Pu 0.7500 0.7500 0.7500  4 Tb 3.36, 4 Ho 3.36
Pu 0.2500 0.2500 0.2500  4 Tb 3.36, 4 Ho 3.36
Ho 0.5000 0.5000 0.5000  8 Pu 3.36
Tb 0.0000 0.0000 0.0000  8 Pu 3.36